Density functional theory data (PBE+U) for a geometry-optimized Co2NiWO6 structure.

Cell and atoms, written as POSCAR:
```
Co2NiWO6
1.0
-1.8317 -0.8289 -4.7873
-4.9985 -1.2272 -0.6918
-3.3363 3.8455 -2.2051
Co Ni W O
2 1 1 6
direct
0.5252 0.5251 0.4245
0.0263 0.0264 0.9211
0.8159 0.8160 0.5520
0.3192 0.3193 0.0421
0.5811 0.2176 0.2551
0.2178 0.9462 0.2551
0.9462 0.5810 0.2552
0.4267 0.6972 0.7701
0.6972 0.1061 0.7700
0.1059 0.4268 0.7701
```

Values from the calculation:
Symmetry ... R3, No. 146
Volume ... 10.9 Å³/atom
N(E_F) ... 0.00 states/eV per cell
Energy ... -6.40 eV per atom
Total moment ... 8.04 μB/f.u.
Calculated density ... 7.0 g cm⁻³